Density functional theory data (GGA-PBE) for a relaxed LaAlInO2 crystal.

CIF file:
```
data_LaAlInO2
_chemical_formula_sum 'La1 Al1 In1 O2'
_symmetry_space_group_name_H-M 'P 4/m m m'
_symmetry_Int_Tables_number 123
_symmetry_space_group_name_Hall '-P 4 2'
_cell_length_a 4.156
_cell_length_b 4.156
_cell_length_c 5.697
_cell_angle_alpha 90.00
_cell_angle_beta 90.00
_cell_angle_gamma 90.00
loop_
_atom_site_label
_atom_site_type_symbol
_atom_site_fract_x
_atom_site_fract_y
_atom_site_fract_z
La1 La 0.000 0.000 0.000
Al1 Al 0.000 0.000 0.500
In1 In 0.500 0.500 0.000
O1 O 0.000 0.500 0.500
```

Results
Formation energy (no corrections): -371 meV per atom
Theoretical density: 5.28 g cm⁻³



Density functional theory data (GGA-PBE) for a relaxed PIrAu2 crystal.

CIF file:
```
data_PIrAu2
_chemical_formula_sum 'P4 Ir4 Au8'
_symmetry_space_group_name_H-M 'F -4 3 m'
_symmetry_Int_Tables_number 216
_symmetry_space_group_name_Hall 'F -4 2 3'
_cell_length_a 6.395
_cell_length_b 6.395
_cell_length_c 6.395
_cell_angle_alpha 90.00
_cell_angle_beta 90.00
_cell_angle_gamma 90.00
loop_
_atom_site_label
_atom_site_type_symbol
_atom_site_fract_x
_atom_site_fract_y
_atom_site_fract_z
P1 P 0.000 0.000 0.000
Ir1 Ir 0.250 0.250 0.250
Au1 Au 0.000 0.000 0.500
Au2 Au 0.250 0.250 0.750
```

Results
Theoretical density: 15.67 g cm⁻³
Calculated total energy: -4.72 eV/atom



Density functional theory data (GGA-PBE) for a relaxed Sm2HoZrAs4 crystal.

CIF file:
```
data_Sm2HoZrAs4
_chemical_formula_sum 'Sm2 Ho1 Zr1 As4'
_symmetry_space_group_name_H-M 'P 1 2/m 1'
_symmetry_Int_Tables_number 10
_symmetry_space_group_name_Hall '-P 2y'
_cell_length_a 7.077
_cell_length_b 4.086
_cell_length_c 7.087
_cell_angle_alpha 90.00
_cell_angle_beta 109.29
_cell_angle_gamma 90.00
loop_
_atom_site_label
_atom_site_type_symbol
_atom_site_fract_x
_atom_site_fract_y
_atom_site_fract_z
Sm1 Sm 0.000 0.000 0.000
Sm2 Sm 0.500 0.500 0.000
Ho1 Ho 0.000 0.500 0.500
Zr1 Zr 0.500 0.000 0.500
As1 As 0.253 0.000 0.738
As2 As 0.262 0.500 0.266
```

Results
Theoretical density: 7.35 g cm⁻³
Calculated total energy: -6.57 eV/atom



Values of density of states at the Fermi level, in order: 5.1; 17.1; 1.4, all in states/eV/cell.